## a
Material: Cr2CuCl
Method: DFT, GGA-PBEsol
State: relaxed

a b c (Å): 4.0408 4.0408 4.0408
angles (deg): 60.00 60.00 60.00
Closest atoms and distances in Å follow each position.
Atoms (fractional coordinates):
Cr  0.2500  0.2500  0.2500  4 Cl 2.47, 4 Cu 2.47
Cr  0.7500  0.7500  0.7500  4 Cl 2.47, 4 Cu 2.47
Cu  0.0000  0.0000  0.0000  8 Cr 2.47
Cl  0.5000  0.5000  0.5000  8 Cr 2.47

Results
Space-group type = Fm-3m, No. 225
V = 11.66 A^3/atom


## b
Material: Cr2CuCl
Method: DFT, GGA-PBEsol
State: relaxed

a b c (Å): 7.9043 7.9043 7.9043
angles (deg): 19.47 19.47 19.47
Closest atoms and distances in Å follow each position.
Atoms (fractional coordinates):
Cr  0.2454  0.2454  0.2454  3 Cl 2.40, 3 Cu 2.56, 6 Cr 2.67
Cr  0.7546  0.7546  0.7546  3 Cl 2.40, 3 Cu 2.56, 6 Cr 2.67
Cu  0.0000  0.0000  0.0000  6 Cr 2.56, 6 Cu 2.67
Cl  0.5000  0.5000  0.5000  6 Cr 2.40, 6 Cl 2.67

Results
Space-group type = R-3m, No. 166
V = 12.00 A^3/atom


Relative energies, unit meV/atom: a 320; b 0


## a
Material: Cr2CuCl
Method: DFT, GGA-PBEsol
State: relaxed

a b c (Å): 3.0425 3.0425 6.6030
angles (deg): 90.00 90.00 90.00
Closest atoms and distances in Å follow each position.
Atoms (fractional coordinates):
Cr  0.0000  0.0000  0.2239  4 Cu 2.61, 4 Cl 2.82
Cr  0.0000  0.0000  0.7761  4 Cu 2.61, 4 Cl 2.82
Cu  0.5000  0.5000  0.0000  8 Cr 2.61
Cl  0.5000  0.5000  0.5000  8 Cr 2.82, 4 Cl 3.04

Results
Space-group type = P4/mmm, No. 123
V = 15.28 A^3/atom


## b
Material: Cr2CuCl
Method: DFT, GGA-PBEsol
State: relaxed

a b c (Å): 4.2006 4.2006 2.7122
angles (deg): 90.00 90.00 90.00
Closest atoms and distances in Å follow each position.
Atoms (fractional coordinates):
Cr  0.0000  0.5000  0.0000  4 Cl 2.50, 4 Cu 2.50, 2 Cr 2.71
Cr  0.5000  0.0000  0.0000  4 Cl 2.50, 4 Cu 2.50, 2 Cr 2.71
Cu  0.0000  0.0000  0.5000  8 Cr 2.50, 2 Cu 2.71
Cl  0.5000  0.5000  0.5000  8 Cr 2.50, 2 Cl 2.71

Results
Space-group type = P4/mmm, No. 123
V = 11.96 A^3/atom


Relative energies, unit meV/atom: a 0; b 174


## a
Material: CrFeCl2
Method: DFT, GGA-PBEsol
State: relaxed

a b c (Å): 6.3643 6.3643 3.3011
angles (deg): 104.73 104.73 34.42
Closest atoms and distances in Å follow each position.
Atoms (fractional coordinates):
Cr  0.0000  0.0000  0.0000  4 Cl 2.32, 4 Fe 2.50
Fe  0.5000  0.5000  0.5000  4 Cl 2.49, 4 Cr 2.50
Cl  0.1386  0.1386  0.6359  2 Cr 2.32, 2 Fe 2.49
Cl  0.8614  0.8614  0.3641  2 Cr 2.32, 2 Fe 2.49

Results
Space-group type = C2/m, No. 12
V = 18.21 A^3/atom


## b
Material: CrFeCl2
Method: DFT, GGA-PBEsol
State: relaxed

a b c (Å): 4.8760 4.8760 3.2266
angles (deg): 106.43 106.43 101.94
Closest atoms and distances in Å follow each position.
Atoms (fractional coordinates):
Cr  0.0000  0.0000  0.0000  4 Cl 2.44
Fe  0.5000  0.5000  0.0000  4 Cl 2.44
Cl  0.0000  0.5000  0.0000  2 Cr 2.44, 2 Fe 2.44
Cl  0.5000  0.0000  0.0000  2 Cr 2.44, 2 Fe 2.44

Results
Space-group type = C2/m, No. 12
V = 16.76 A^3/atom


Relative energies, unit meV/atom: a 0; b 280